[1]
A plane-wave DFT calculation with PBEsol was carried out for crystalline KRe2Te at its relaxed geometry.

Lattice parameters (Å, degrees): 6.6441 6.6441 6.6441 90.00 90.00 90.00
Closest atoms and distances in Å follow each position.
Sites, in units of the cell vectors:
K 0.0000 0.0000 0.0000  4 Re 2.88, 4 Te 2.88
K 0.0000 0.5000 0.5000  4 Re 2.88, 4 Te 2.88
K 0.5000 0.0000 0.5000  4 Re 2.88, 4 Te 2.88
K 0.5000 0.5000 0.0000  4 Re 2.88, 4 Te 2.88
Re 0.0000 0.0000 0.5000  4 Re 2.88, 4 Te 2.88
Re 0.0000 0.5000 0.0000  4 Re 2.88, 4 Te 2.88
Re 0.2500 0.2500 0.2500  4 K 2.88, 4 Re 2.88
Re 0.2500 0.7500 0.7500  4 K 2.88, 4 Re 2.88
Re 0.5000 0.0000 0.0000  4 Re 2.88, 4 Te 2.88
Re 0.5000 0.5000 0.5000  4 Re 2.88, 4 Te 2.88
Re 0.7500 0.2500 0.7500  4 K 2.88, 4 Re 2.88
Re 0.7500 0.7500 0.2500  4 K 2.88, 4 Re 2.88
Te 0.2500 0.2500 0.7500  4 K 2.88, 4 Re 2.88
Te 0.2500 0.7500 0.2500  4 K 2.88, 4 Re 2.88
Te 0.7500 0.2500 0.2500  4 K 2.88, 4 Re 2.88
Te 0.7500 0.7500 0.7500  4 K 2.88, 4 Re 2.88

Crystal system: cubic
Energy relative to the elements, uncorrected in meV/atom: 1362

***

[2]
A plane-wave DFT calculation with PBEsol was carried out for crystalline Mg30CdFeO32 at its relaxed geometry.

Lattice parameters (Å, degrees): 8.4947 8.4947 8.4636 90.00 90.00 90.00
Closest atoms and distances in Å follow each position.
Sites, in units of the cell vectors:
Mg 0.0000 0.0000 0.0000  6 O 2.11-2.12
Mg 0.0000 0.0000 0.5000  6 O 2.11-2.12
Mg 0.0000 0.2497 0.2494  6 O 2.11-2.13
Mg 0.0000 0.2497 0.7506  6 O 2.11-2.13
Mg 0.0000 0.5000 0.0000  6 O 2.05-2.13
Mg 0.0000 0.5000 0.5000  6 O 2.01-2.14
Mg 0.0000 0.7503 0.2494  6 O 2.11-2.13
Mg 0.0000 0.7503 0.7506  6 O 2.11-2.13
Mg 0.2466 0.5000 0.2472  6 O 2.09-2.16
Mg 0.2466 0.5000 0.7528  6 O 2.09-2.16
Mg 0.2477 0.2477 0.5000  6 O 2.10-2.14
Mg 0.2477 0.7523 0.5000  6 O 2.10-2.14
Mg 0.2497 0.0000 0.2494  6 O 2.11-2.13
Mg 0.2497 0.0000 0.7506  6 O 2.11-2.13
Mg 0.2509 0.2509 0.0000  6 O 2.12-2.13
Mg 0.2509 0.7491 0.0000  6 O 2.12-2.13
Mg 0.5000 0.0000 0.0000  6 O 2.05-2.13
Mg 0.5000 0.0000 0.5000  6 O 2.01-2.14
Mg 0.5000 0.2466 0.2472  6 O 2.09-2.16
Mg 0.5000 0.2466 0.7528  6 O 2.09-2.16
Mg 0.5000 0.7534 0.2472  6 O 2.09-2.16
Mg 0.5000 0.7534 0.7528  6 O 2.09-2.16
Mg 0.7491 0.2509 0.0000  6 O 2.12-2.13
Mg 0.7491 0.7491 0.0000  6 O 2.12-2.13
Mg 0.7503 0.0000 0.2494  6 O 2.11-2.13
Mg 0.7503 0.0000 0.7506  6 O 2.11-2.13
Mg 0.7523 0.2477 0.5000  6 O 2.10-2.14
Mg 0.7523 0.7523 0.5000  6 O 2.10-2.14
Mg 0.7534 0.5000 0.2472  6 O 2.09-2.16
Mg 0.7534 0.5000 0.7528  6 O 2.09-2.16
Cd 0.5000 0.5000 0.5000  6 O 2.23-2.25
Fe 0.5000 0.5000 0.0000  6 O 1.98-2.19
O 0.0000 0.0000 0.2499  6 Mg 2.12
O 0.0000 0.0000 0.7501  6 Mg 2.12
O 0.0000 0.2482 0.5000  6 Mg 2.10-2.14
O 0.0000 0.2488 0.0000  6 Mg 2.11-2.13
O 0.0000 0.5000 0.2493  6 Mg 2.09-2.13
O 0.0000 0.5000 0.7507  6 Mg 2.09-2.13
O 0.0000 0.7512 0.0000  6 Mg 2.11-2.13
O 0.0000 0.7518 0.5000  6 Mg 2.10-2.14
O 0.2372 0.5000 0.5000  5 Mg 2.01-2.14, 1 Cd 2.23
O 0.2418 0.5000 0.0000  5 Mg 2.05-2.12, 1 Fe 2.19
O 0.2482 0.0000 0.5000  6 Mg 2.10-2.14
O 0.2488 0.0000 0.0000  6 Mg 2.11-2.13
O 0.2508 0.2508 0.2504  6 Mg 2.11-2.13
O 0.2508 0.2508 0.7496  6 Mg 2.11-2.13
O 0.2508 0.7492 0.2504  6 Mg 2.11-2.13
O 0.2508 0.7492 0.7496  6 Mg 2.11-2.13
O 0.5000 0.0000 0.2493  6 Mg 2.09-2.13
O 0.5000 0.0000 0.7507  6 Mg 2.09-2.13
O 0.5000 0.2372 0.5000  5 Mg 2.01-2.14, 1 Cd 2.23
O 0.5000 0.2418 0.0000  5 Mg 2.05-2.12, 1 Fe 2.19
O 0.5000 0.5000 0.2342  1 Fe 1.98, 4 Mg 2.16
O 0.5000 0.5000 0.7658  1 Fe 1.98, 4 Mg 2.16
O 0.5000 0.7582 0.0000  5 Mg 2.05-2.12, 1 Fe 2.19
O 0.5000 0.7628 0.5000  5 Mg 2.01-2.14, 1 Cd 2.23
O 0.7492 0.2508 0.2504  6 Mg 2.11-2.13
O 0.7492 0.2508 0.7496  6 Mg 2.11-2.13
O 0.7492 0.7492 0.2504  6 Mg 2.11-2.13
O 0.7492 0.7492 0.7496  6 Mg 2.11-2.13
O 0.7512 0.0000 0.0000  6 Mg 2.11-2.13
O 0.7518 0.0000 0.5000  6 Mg 2.10-2.14
O 0.7582 0.5000 0.0000  5 Mg 2.05-2.12, 1 Fe 2.19
O 0.7628 0.5000 0.5000  5 Mg 2.01-2.14, 1 Cd 2.23

Crystal system: tetragonal
Energy relative to the elements, uncorrected in meV/atom: -2614

***

[3]
A plane-wave DFT calculation with PBEsol was carried out for crystalline Mg2ZnSi at its relaxed geometry.

Lattice parameters (Å, degrees): 2.9531 3.8983 5.9773 90.00 90.00 90.00
Closest atoms and distances in Å follow each position.
Sites, in units of the cell vectors:
Mg 0.0000 0.0000 0.2488  4 Si 2.86, 4 Zn 2.87, 4 Mg 2.95-3.00
Mg 0.0000 0.0000 0.7512  4 Si 2.86, 4 Zn 2.87, 4 Mg 2.95-3.00
Zn 0.5000 0.5000 0.5000  8 Mg 2.87, 2 Zn 2.95, 2 Si 2.99
Si 0.5000 0.5000 0.0000  8 Mg 2.86, 2 Si 2.95, 2 Zn 2.99

Crystal system: orthorhombic
Energy relative to the elements, uncorrected in meV/atom: -9

***

[4]
A plane-wave DFT calculation with PBEsol was carried out for crystalline TaFe4 at its relaxed geometry.

Lattice parameters (Å, degrees): 6.3980 6.3980 2.9734 90.00 90.00 90.00
Closest atoms and distances in Å follow each position.
Sites, in units of the cell vectors:
Ta 0.0000 0.0000 0.0000  12 Fe 2.57-2.81
Ta 0.5000 0.5000 0.5000  12 Fe 2.57-2.81
Fe 0.1030 0.6895 0.5000  6 Fe 2.45-2.52, 2 Ta 2.57
Fe 0.1895 0.3970 0.0000  6 Fe 2.45-2.52, 2 Ta 2.57
Fe 0.3105 0.1030 0.5000  6 Fe 2.45-2.52, 2 Ta 2.57
Fe 0.3970 0.8105 0.0000  6 Fe 2.45-2.52, 2 Ta 2.57
Fe 0.6030 0.1895 0.0000  6 Fe 2.45-2.52, 2 Ta 2.57
Fe 0.6895 0.8970 0.5000  6 Fe 2.45-2.52, 2 Ta 2.57
Fe 0.8105 0.6030 0.0000  6 Fe 2.45-2.52, 2 Ta 2.57
Fe 0.8970 0.3105 0.5000  6 Fe 2.45-2.52, 2 Ta 2.57

Crystal system: tetragonal
ΔH_f (0 K) in meV per atom: -38

***

[5]
A plane-wave DFT calculation with PBEsol was carried out for crystalline Sc2MnP at its relaxed geometry.

Lattice parameters (Å, degrees): 3.9786 3.9786 14.1242 90.00 90.00 120.00
Closest atoms and distances in Å follow each position.
Sites, in units of the cell vectors:
Sc 0.0000 0.0000 0.0000  3 Mn 2.65, 3 P 2.65, 1 Sc 2.80
Sc 0.0000 0.0000 0.1981  3 P 2.73, 3 Mn 2.73, 4 Sc 2.80-2.99
Sc 0.3333 0.6667 0.6667  3 Mn 2.65, 3 P 2.65, 1 Sc 2.80
Sc 0.3333 0.6667 0.8647  3 P 2.73, 3 Mn 2.73, 4 Sc 2.80-2.99
Sc 0.6667 0.3333 0.3333  3 Mn 2.65, 3 P 2.65, 1 Sc 2.80
Sc 0.6667 0.3333 0.5314  3 P 2.73, 3 Mn 2.73, 4 Sc 2.80-2.99
Mn 0.0000 0.0000 0.7602  3 P 2.30
Mn 0.3333 0.6667 0.4268  3 P 2.30
Mn 0.6667 0.3333 0.0935  3 P 2.30
P 0.0000 0.0000 0.4272  3 Mn 2.30
P 0.3333 0.6667 0.0939  3 Mn 2.30
P 0.6667 0.3333 0.7605  3 Mn 2.30

Crystal system: trigonal
ΔH_f (0 K) in meV per atom: -601

***

[6]
A plane-wave DFT calculation with PBEsol was carried out for crystalline FeSb2TeN at its relaxed geometry.

Lattice parameters (Å, degrees): 4.6669 4.6669 4.5281 90.00 90.00 90.00
Closest atoms and distances in Å follow each position.
Sites, in units of the cell vectors:
Fe 0.0000 0.0000 0.0000  8 Sb 3.25, 4 Te 3.30
Sb 0.0000 0.5000 0.5000  2 N 2.33
Sb 0.5000 0.0000 0.5000  2 N 2.33
Te 0.5000 0.5000 0.0000  2 N 2.26
N 0.5000 0.5000 0.5000  2 Te 2.26, 4 Sb 2.33

Crystal system: tetragonal
Energy relative to the elements, uncorrected in meV/atom: 839
Distance to the lowest polymorph of the same formula in meV/atom: 0

***

[7]
A plane-wave DFT calculation with PBEsol was carried out for crystalline Mn3NbN at its relaxed geometry.

Lattice parameters (Å, degrees): 3.7669 3.7669 3.7669 90.00 90.00 90.00
Closest atoms and distances in Å follow each position.
Sites, in units of the cell vectors:
Mn 0.0000 0.0000 0.5000  2 N 1.88
Mn 0.0000 0.5000 0.0000  2 N 1.88
Mn 0.5000 0.0000 0.0000  2 N 1.88
Nb 0.5000 0.5000 0.5000  12 Mn 2.66
N 0.0000 0.0000 0.0000  6 Mn 1.88

Crystal system: cubic
Energy relative to the elements, uncorrected in meV/atom: -344

***

[8]
A plane-wave DFT calculation with PBEsol was carried out for crystalline MnF4 at its relaxed geometry.

Lattice parameters (Å, degrees): 4.9040 5.2197 7.0064 95.92 91.22 90.13
Closest atoms and distances in Å follow each position.
Sites, in units of the cell vectors:
Mn 0.0000 0.0000 0.0000  6 F 1.83-1.92
Mn 0.0000 0.0000 0.5000  6 F 1.73-1.92
Mn 0.5000 0.5000 0.0000  6 F 1.74-1.87
F 0.1366 0.0106 0.2462  2 Mn 1.83-1.92
F 0.1388 0.3022 0.5671  1 Mn 1.73
F 0.1975 0.6882 0.9306  2 Mn 1.86-1.92
F 0.3008 0.8592 0.5705  1 Mn 1.73
F 0.3088 0.1924 0.9336  2 Mn 1.87-1.91
F 0.3763 0.5101 0.2321  1 Mn 1.74
F 0.6237 0.4899 0.7679  1 Mn 1.74
F 0.6912 0.8076 0.0664  2 Mn 1.87-1.91
F 0.6992 0.1408 0.4295  1 Mn 1.73
F 0.8025 0.3118 0.0694  2 Mn 1.86-1.92
F 0.8612 0.6978 0.4329  1 Mn 1.73
F 0.8634 0.9894 0.7538  2 Mn 1.83-1.92

Crystal system: triclinic
Energy relative to the elements, uncorrected in meV/atom: -2117

***

[9]
A plane-wave DFT calculation with PBEsol was carried out for crystalline Be2ReIr at its relaxed geometry.

Lattice parameters (Å, degrees): 2.7679 3.8106 4.4986 90.00 90.00 90.00
Closest atoms and distances in Å follow each position.
Sites, in units of the cell vectors:
Be 0.0000 0.0000 0.0000  4 Ir 2.35
Be 0.5000 0.0000 0.5000  4 Re 2.35
Re 0.0000 0.5000 0.5000  4 Be 2.35
Ir 0.5000 0.5000 0.0000  4 Be 2.35

Crystal system: orthorhombic
ΔH_f (0 K) in meV per atom: 13
Distance to the lowest polymorph of the same formula in meV/atom: 240

***

[10]
A plane-wave DFT calculation with PBEsol was carried out for crystalline MnAlIrS2 at its relaxed geometry.

Lattice parameters (Å, degrees): 4.1382 4.1382 4.5884 90.00 90.00 90.00
Closest atoms and distances in Å follow each position.
Sites, in units of the cell vectors:
Mn 0.0000 0.0000 0.0000  4 S 2.07, 2 Al 2.29
Al 0.0000 0.0000 0.5000  2 Mn 2.29
Ir 0.5000 0.5000 0.5000  4 Al 2.93, 8 S 3.09
S 0.0000 0.5000 0.0000  2 Mn 2.07
S 0.5000 0.0000 0.0000  2 Mn 2.07

Crystal system: tetragonal
Energy relative to the elements, uncorrected in meV/atom: 722

***

[11]
A plane-wave DFT calculation with PBEsol was carried out for crystalline ScTaRe3 at its relaxed geometry.

Lattice parameters (Å, degrees): 4.7121 4.7121 4.7121 90.00 90.00 90.00
Closest atoms and distances in Å follow each position.
Sites, in units of the cell vectors:
Sc 0.0000 0.0000 0.0000  12 Re 3.33
Ta 0.5000 0.5000 0.5000  6 Re 2.36
Re 0.0000 0.5000 0.5000  2 Ta 2.36
Re 0.5000 0.0000 0.5000  2 Ta 2.36
Re 0.5000 0.5000 0.0000  2 Ta 2.36

Crystal system: cubic
ΔH_f (0 K) in meV per atom: 1828
Distance to the lowest polymorph of the same formula in meV/atom: 0

***

[12]
A plane-wave DFT calculation with PBEsol was carried out for crystalline AgPb2 at its relaxed geometry.

Lattice parameters (Å, degrees): 4.8021 4.8021 3.5844 90.00 90.00 90.00
Closest atoms and distances in Å follow each position.
Sites, in units of the cell vectors:
Ag 0.0000 0.0000 0.0000  8 Pb 3.00
Pb 0.0000 0.5000 0.5000  4 Ag 3.00
Pb 0.5000 0.0000 0.5000  4 Ag 3.00

Crystal system: tetragonal
ΔH_f (0 K) in meV per atom: 200

***

Quick rundown of calculated volume, same order as above: 293.3 610.7 68.8 121.7 193.6 98.6 53.5 178.3 47.4 78.6 104.6 82.7 Å³/cell
Quick rundown of E, same order as above: -25.874 -396.938 -10.797 -48.597 -31.166 -25.934 -50.353 -28.054 -31.104 -28.834 -50.012 -10.708 eV/f.u.